Entry 1:
ErBeO3 | OQMD via LeMat-Bulk | PBE | optimized geometry; size of the total moment = 0.035 μB per atom; raw total energy = -35.92 eV per cell
1.0
3.287 0.000 0.000
0.000 3.287 0.000
0.000 0.000 4.345
Er Be O
1 1 3
Cartesian
0.000 0.000 0.000
1.644 1.644 2.184
0.000 1.644 2.707
1.644 0.000 2.707
1.644 1.644 0.576

Entry 2:
GdNbSb | OQMD via LeMat-Bulk | PBE | optimized geometry; size of the total moment = 0.057 μB per atom; E above lowest polymorph = 0.00 eV/f.u.
1.0
0.000 3.420 3.420
3.420 0.000 3.420
3.420 3.420 0.000
Gd Nb Sb
1 1 1
Cartesian
0.000 0.000 0.000
3.420 3.420 3.420
1.710 1.710 1.710

Entry 3:
Nb4TlAuN2 | OQMD via LeMat-Bulk | PBE | optimized geometry; size of the total moment = 0.000 μB per atom; raw total energy = -66.60 eV per cell
1.0
3.237 0.000 0.000
-1.618 2.803 0.000
0.000 0.000 13.786
Nb Tl Au N
4 1 1 2
Cartesian
0.000 0.000 2.229
0.000 0.000 11.557
0.000 1.869 4.462
0.000 1.869 9.324
0.000 0.000 6.893
0.000 1.869 0.000
1.618 0.934 3.325
1.618 0.934 10.461

Entry 4:
Gd3YC2Se2 | OQMD via LeMat-Bulk | PBE | optimized geometry; size of the total moment = 0.000 μB per atom; raw total energy = -54.82 eV per cell
1.0
3.796 0.000 0.000
-1.898 3.287 0.000
0.000 0.000 13.417
Gd Y C Se
3 1 2 2
Cartesian
0.000 0.000 0.000
0.000 0.000 4.015
0.000 2.192 6.734
0.000 2.192 10.729
1.898 1.096 5.381
1.898 1.096 12.071
0.000 0.000 8.754
0.000 2.192 2.018

Entry 5:
TbU | OQMD via LeMat-Bulk | PBE | optimized geometry; E_form = 2.9 eV per formula unit; size of the total moment = 2.135 μB per atom; E above lowest polymorph = 1.93 eV/f.u.
1.0
0.000 3.113 3.113
3.113 0.000 3.113
3.113 3.113 0.000
Tb U
1 1
Cartesian
0.000 0.000 0.000
3.113 3.113 3.113

Entry 6:
BePPtO | OQMD via LeMat-Bulk | PBE | optimized geometry; size of the total moment = 0.001 μB per atom; E above lowest polymorph = 0.00 eV/f.u.
1.0
3.659 0.000 0.000
0.000 3.659 0.000
0.000 0.000 8.231
Be P Pt O
2 2 2 2
Cartesian
0.915 0.915 0.150
2.744 2.744 8.081
0.915 0.915 2.556
2.744 2.744 5.676
0.915 2.744 4.116
2.744 0.915 4.116
0.915 2.744 0.000
2.744 0.915 0.000

Entry 7:
SrSmCuTe3 | OQMD via LeMat-Bulk | PBE | optimized geometry; size of the total moment = 0.000 μB per atom; raw total energy = -52.56 eV per cell
1.0
10.100 -2.212 0.000
10.100 2.212 0.000
-1.915 0.000 8.542
Sr Sm Cu Te
2 2 2 6
Cartesian
2.309 0.000 0.568
15.974 0.000 7.974
2.131 0.000 4.981
16.153 0.000 3.561
8.625 0.000 2.536
9.659 0.000 6.006
-0.958 0.000 4.271
5.268 0.000 5.595
6.252 0.000 1.407
10.100 0.000 0.000
12.032 0.000 7.135
13.016 0.000 2.947

Entry 8:
NdFeW | OQMD via LeMat-Bulk | PBE | optimized geometry; E_form = 2.7 eV per formula unit; size of the total moment = 0.005 μB per atom
1.0
0.000 3.137 3.137
3.137 0.000 3.137
3.137 3.137 0.000
Nd Fe W
1 1 1
Cartesian
0.000 0.000 0.000
1.568 1.568 1.568
3.137 3.137 3.137

> What is the size of the total moment in the first record?

0.035 μB per atom